[1]
Computed, not measured: a relaxed structure of Ca2MgFe at the PBE-GGA level of DFT.

Cell lengths 4.813, 3.832, 6.308 Å; angles 72.33, 90.00, 90.00 degrees
Sites, in units of the cell vectors:
Ca1 0.000 0.973 0.930
Ca2 0.500 0.277 0.321
Fe1 0.000 0.682 0.508
Mg1 0.500 0.568 0.741

## Properties
Formation energy ... 330 meV/atom
SG ... No. 6
Size of the total moment ... 2.3 μB/cell

[2]
Computed, not measured: a relaxed structure of Pm2ZnIr at the PBE-GGA level of DFT.

Cell lengths 3.602, 3.602, 7.186 Å; angles 90.00, 90.00, 90.00 degrees
Sites, in units of the cell vectors:
Zn1 0.500 0.500 0.500
Ir1 0.500 0.500 0.000
Pm1 0.000 0.000 0.767
Pm2 0.000 0.000 0.233

## Properties
Formation energy ... -486 meV/atom
E above lowest polymorph ... 0.0815 eV per atom
SG ... No. 123
Size of the total moment ... 0.0 μB/cell

[3]
Computed, not measured: a relaxed structure of AlGaGe at the PBE-GGA level of DFT.

Cell lengths 3.057, 4.606, 4.606 Å; angles 120.00, 90.00, 90.00 degrees
Sites, in units of the cell vectors:
Ge1 0.178 0.333 0.667
Al1 0.159 0.000 0.000
Ga1 0.663 0.667 0.333

## Properties
Formation energy ... 134 meV/atom
E above lowest polymorph ... 0.0564 eV per atom
SG ... No. 156
Size of the total moment ... 0.0 μB/cell

[4]
Computed, not measured: a relaxed structure of LiY2Si4Pt3 at the PBE-GGA level of DFT.

Cell lengths 4.141, 4.141, 10.084 Å; angles 90.00, 90.00, 90.00 degrees
Sites, in units of the cell vectors:
Li1 0.500 0.500 0.500
Y1 0.500 0.000 0.252
Y2 0.000 0.500 0.748
Si1 0.500 0.500 0.000
Si2 0.000 0.000 0.000
Si3 0.500 0.000 0.636
Si4 0.000 0.500 0.364
Pt1 0.000 0.000 0.500
Pt2 0.500 0.000 0.875
Pt3 0.000 0.500 0.125

## Properties
E_form (uncorrected) ... -0.994 eV/atom
SG ... No. 115
Size of the total moment ... 0.0 μB/cell

[5]
Computed, not measured: a relaxed structure of BaZrCdTe2 at the PBE-GGA level of DFT.

Cell lengths 5.865, 5.364, 5.865 Å; angles 90.00, 90.00, 90.00 degrees
Sites, in units of the cell vectors:
Te1 0.000 0.000 0.500
Te2 0.500 0.000 0.000
Ba1 0.500 0.500 0.500
Zr1 0.000 0.500 0.000
Cd1 0.000 0.000 0.000

## Properties
E_form (uncorrected) ... 0.065 eV/atom
SG ... No. 123
Size of the total moment ... 2.3 μB/cell

[6]
Computed, not measured: a relaxed structure of Hf2MnZnN at the PBE-GGA level of DFT.

Cell lengths 4.444, 4.444, 3.757 Å; angles 90.00, 90.00, 90.00 degrees
Sites, in units of the cell vectors:
Zn1 0.500 0.500 0.500
Mn1 0.000 0.000 0.500
Hf1 0.000 0.500 0.000
Hf2 0.500 0.000 0.000
N1 0.000 0.000 0.000

## Properties
E_form (uncorrected) ... -0.649 eV/atom
SG ... No. 123
Size of the total moment ... 1.6 μB/cell

[7]
Computed, not measured: a relaxed structure of ThTl3Sn2Te6 at the PBE-GGA level of DFT.

Cell lengths 7.912, 7.912, 8.377 Å; angles 99.02, 99.02, 119.92 degrees
Sites, in units of the cell vectors:
Th1 0.000 0.000 0.000
Tl1 0.166 0.834 0.500
Tl2 0.834 0.166 0.500
Tl3 0.500 0.500 0.500
Sn1 0.334 0.666 0.000
Sn2 0.666 0.334 0.000
Te1 0.928 0.597 0.782
Te2 0.742 0.742 0.219
Te3 0.072 0.403 0.218
Te4 0.597 0.928 0.782
Te5 0.258 0.258 0.781
Te6 0.403 0.072 0.218

## Properties
E_form (uncorrected) ... -0.526 eV/atom
SG ... No. 12
Size of the total moment ... 0.0 μB/cell

Number 1: E -3.185 eV per atom. Number 2: E -5.395 eV per atom. Number 3: E -3.661 eV per atom. Number 4: E -6.460 eV per atom. Number 5: E -3.469 eV per atom. Number 6: E -8.384 eV per atom. Number 7: E -3.974 eV per atom.